{
  "formula": "NaCa4In2",
  "functional": "PBE",
  "state": "relaxed",
  "lattice_angstrom": [[-2.809, 3.653, 3.070], [-1.244, -1.184, 5.265], [6.262, 4.476, 5.398]],
  "species": ["Na", "Ca", "Ca", "Ca", "Ca", "In", "In"],
  "fractional_positions": [[0.000, 0.000, 0.000], [0.616, 0.616, 0.151], [0.130, 0.130, 0.609], [0.384, 0.384, 0.849], [0.870, 0.870, 0.391], [0.255, 0.255, 0.235], [0.745, 0.745, 0.765]],
  "energy_ev_per_cell": -16.6,
  "formation_energy_ev_per_atom": -0.2531,
  "m_tot_mub_per_fu": 0.00
}